[1]
First-principles (GGA-PBE) data for a relaxed TcSb2Cl crystal, as listed in the Alexandria database.

The space group is I-42d (No. 122) and the conventional cell measures 6.4418, 6.4418 and 12.4542 Å, with angles of 90.00, 90.00 and 90.00 degrees. Symmetry generates all atoms from Tc at (0.0000, 0.0000, 0.0000), Sb at (0.1757, 0.2500, 0.1250) and Cl at (0.0000, 0.0000, 0.5000).

The magnetization comes out at 0.00 μB/cell. The volume comes out at 32.30 Å³ per atom. The calculation puts the total energy at -4.80 eV/atom. The uncorrected formation energy is 317 meV/atom. Its crystal system is tetragonal.

[2]
First-principles (GGA-PBE) data for a relaxed TcSbCl crystal, as listed in the Alexandria database.

The space group is Imm2 (No. 44) and the conventional cell measures 3.2577, 4.2304 and 8.4436 Å, with angles of 90.00, 90.00 and 90.00 degrees. Symmetry generates all atoms from Tc at (0.0000, 0.0000, 0.0000), Sb at (0.0000, 0.0000, 0.3710) and Cl at (0.0000, 0.0000, 0.7075).

The magnetization comes out at 1.35 μB/cell. The volume comes out at 19.39 Å³ per atom. The calculation puts the total energy at -4.92 eV/atom. The uncorrected formation energy is 529 meV/atom. Its crystal system is orthorhombic.

[3]
First-principles (GGA-PBE) data for a relaxed TcSb2Cl crystal, as listed in the Alexandria database.

The space group is C2/m (No. 12) and the conventional cell measures 7.9125, 7.5743 and 3.1493 Å, with angles of 90.00, 111.78 and 90.00 degrees. Symmetry generates all atoms from Tc at (0.0000, 0.0000, 0.0000), Sb at (0.2500, 0.2500, 0.0000) and Cl at (0.0000, 0.5000, 0.0000).

The magnetization comes out at 1.50 μB/cell. The volume comes out at 21.91 Å³ per atom. The calculation puts the total energy at -4.84 eV/atom. The uncorrected formation energy is 275 meV/atom. Its crystal system is monoclinic.

[4]
First-principles (GGA-PBE) data for a relaxed TcSb2Cl crystal, as listed in the Alexandria database.

The space group is Fm-3m (No. 225) and the conventional cell measures 6.9659, 6.9659 and 6.9659 Å, with angles of 90.00, 90.00 and 90.00 degrees. Symmetry generates all atoms from Tc at (0.0000, 0.0000, 0.0000), Sb at (0.2500, 0.2500, 0.2500) and Cl at (0.0000, 0.0000, 0.5000).

The magnetization comes out at 7.75 μB/cell. The volume comes out at 21.13 Å³ per atom. The calculation puts the total energy at -4.64 eV/atom. The uncorrected formation energy is 470 meV/atom. Its crystal system is cubic.

[5]
First-principles (GGA-PBE) data for a relaxed TcSb3Cl crystal, as listed in the Alexandria database.

The space group is Pm-3m (No. 221) and the conventional cell measures 5.2164, 5.2164 and 5.2164 Å, with angles of 90.00, 90.00 and 90.00 degrees. Symmetry generates all atoms from Tc at (0.0000, 0.0000, 0.0000), Sb at (0.0000, 0.5000, 0.5000) and Cl at (0.5000, 0.5000, 0.5000).

The magnetization comes out at 2.80 μB/cell. The volume comes out at 28.39 Å³ per atom. The calculation puts the total energy at -3.56 eV/atom. The uncorrected formation energy is 1355 meV/atom. Its crystal system is cubic.

[6]
First-principles (GGA-PBE) data for a relaxed TcSb2Cl crystal, as listed in the Alexandria database.

The space group is Pmmm (No. 47) and the conventional cell measures 3.1839, 4.6632 and 6.1907 Å, with angles of 90.00, 90.00 and 90.00 degrees. Symmetry generates all atoms from Tc at (0.0000, 0.0000, 0.0000), Sb at (0.0000, 0.5000, 0.5000), Sb at (0.5000, 0.5000, 0.0000) and Cl at (0.5000, 0.0000, 0.5000).

The magnetization comes out at 2.14 μB/cell. The volume comes out at 22.98 Å³ per atom. The calculation puts the total energy at -4.53 eV/atom. The uncorrected formation energy is 580 meV/atom. Its crystal system is orthorhombic.

[7]
First-principles (GGA-PBE) data for a relaxed Tc4SbCl crystal, as listed in the Alexandria database.

The space group is F-43m (No. 216) and the conventional cell measures 7.4646, 7.4646 and 7.4646 Å, with angles of 90.00, 90.00 and 90.00 degrees. Symmetry generates all atoms from Tc at (0.1251, 0.1251, 0.1251), Sb at (0.0000, 0.0000, 0.5000) and Cl at (0.2500, 0.2500, 0.7500).

The magnetization comes out at 0.00 μB/cell. The volume comes out at 17.33 Å³ per atom. The calculation puts the total energy at -7.02 eV/atom. The uncorrected formation energy is 883 meV/atom. Its crystal system is cubic.

[8]
First-principles (GGA-PBE) data for a relaxed TcSbCl crystal, as listed in the Alexandria database.

The space group is P3m1 (No. 156) and the conventional cell measures 4.5428, 4.5428 and 3.1560 Å, with angles of 90.00, 90.00 and 120.00 degrees. Symmetry generates all atoms from Tc at (0.0000, 0.0000, 0.0000), Sb at (0.3333, 0.6667, 0.6459) and Cl at (0.6667, 0.3333, 0.0936).

The magnetization comes out at 0.95 μB/cell. The volume comes out at 18.80 Å³ per atom. The calculation puts the total energy at -5.03 eV/atom. The uncorrected formation energy is 415 meV/atom. Its crystal system is trigonal.

[9]
First-principles (GGA-PBE) data for a relaxed TcSbCl3 crystal, as listed in the Alexandria database.

The space group is Pm-3m (No. 221) and the conventional cell measures 5.4372, 5.4372 and 5.4372 Å, with angles of 90.00, 90.00 and 90.00 degrees. Symmetry generates all atoms from Tc at (0.0000, 0.0000, 0.0000), Sb at (0.5000, 0.5000, 0.5000) and Cl at (0.0000, 0.5000, 0.5000).

The magnetization comes out at 5.48 μB/cell. The volume comes out at 32.15 Å³ per atom. The calculation puts the total energy at -3.45 eV/atom. The uncorrected formation energy is 554 meV/atom. Its crystal system is cubic.

[10]
First-principles (GGA-PBE) data for a relaxed TcSb2Cl crystal, as listed in the Alexandria database.

The space group is Cmm2 (No. 35) and the conventional cell measures 3.0774, 5.5634 and 11.2452 Å, with angles of 90.00, 90.00 and 90.00 degrees. Symmetry generates all atoms from Tc at (0.0000, 0.0000, 0.0000), Sb at (0.0000, 0.0000, 0.5176), Sb at (0.0000, 0.5000, 0.2096) and Cl at (0.0000, 0.5000, 0.8396).

The magnetization comes out at 1.25 μB/cell. The volume comes out at 24.07 Å³ per atom. The calculation puts the total energy at -4.78 eV/atom. The uncorrected formation energy is 331 meV/atom. Its crystal system is orthorhombic.

[11]
First-principles (GGA-PBE) data for a relaxed TcSb2Cl crystal, as listed in the Alexandria database.

The space group is C2/m (No. 12) and the conventional cell measures 5.9906, 3.4502 and 8.7163 Å, with angles of 90.00, 102.62 and 90.00 degrees. Symmetry generates all atoms from Tc at (0.0000, 0.0000, 0.0000), Sb at (0.2374, 0.5000, 0.2206) and Cl at (0.0000, 0.5000, 0.5000).

The magnetization comes out at 0.00 μB/cell. The volume comes out at 21.97 Å³ per atom. The calculation puts the total energy at -5.17 eV/atom. The uncorrected formation energy is -52 meV/atom. Its crystal system is monoclinic.

[12]
First-principles (GGA-PBE) data for a relaxed TcSbCl crystal, as listed in the Alexandria database.

The space group is F-43m (No. 216) and the conventional cell measures 6.3512, 6.3512 and 6.3512 Å, with angles of 90.00, 90.00 and 90.00 degrees. Symmetry generates all atoms from Tc at (0.0000, 0.0000, 0.0000), Sb at (0.2500, 0.2500, 0.2500) and Cl at (0.2500, 0.2500, 0.7500).

The magnetization comes out at 3.34 μB/cell. The volume comes out at 21.35 Å³ per atom. The calculation puts the total energy at -5.09 eV/atom. The uncorrected formation energy is 356 meV/atom. Its crystal system is cubic.

Among the records above, which one has the highest uncorrected formation energy? TcSb3Cl

Look up the uncorrected formation energy of the eleventh one. -52 meV/atom

Number 7 is which compound? Tc4SbCl

The lowest total energy belongs to which entry? Tc4SbCl